# LiMgIn PBE relaxed
# E: -24.7 eV/cell
# energy above the most stable polymorph in this dataset: 59 kJ/mol of formula units
# energy of formation from the pure elements: 0.07 eV per formula unit
data_LiMgIn
_chemical_formula_sum 'Li4 Mg4 In4'
_cell_length_a 6.502
_cell_length_b 6.502
_cell_length_c 6.502
_cell_angle_alpha 90.00
_cell_angle_beta 90.00
_cell_angle_gamma 90.00
_space_group_name_H-M_alt 'F -4 3 m'
_space_group_IT_number 216
_space_group_name_Hall 'F -4 2 3'
loop_
_atom_site_label
_atom_site_fract_x
_atom_site_fract_y
_atom_site_fract_z
_atom_site_occupancy
Li1 0.000 0.000 0.000 1
Mg1 0.250 0.250 0.250 1
In1 0.250 0.250 0.750 1